This record from Alexandria via LeMat-Bulk describes a geometry-optimized PrLu2Cd structure. The functional is PBE.

Computed properties:
- ΔE_f: -0.07 eV/atom
- Raw total energy: -15.01 eV for the cell shown
- SG: R-3m, No. 166

Structure (POSCAR):
```
PrLu2Cd
1.0
3.557 0.000 0.000
1.779 3.081 0.000
1.779 1.027 10.710
Cd Lu Pr
1 2 1
Direct
0.000 0.000 0.000
0.257 0.257 0.228
0.743 0.743 0.772
0.500 0.500 0.500
```